Entry 1:
PrTlIn | Alexandria via LeMat-Bulk | PBE | relaxed; space group = No. 194; relative energy among the computed polymorphs = 0.64 kcal/mol of atoms; E_tot = -3.64 eV per atom; DOS at the Fermi energy = 6.43 states/eV per cell; ΔE_f = -346 meV/atom; total magnetization = 0.00 μB/f.u.
1.0
5.1264 0.0000 0.0000
-2.5632 4.4396 0.0000
0.0000 0.0000 7.4818
Pr Tl In
2 2 2
Direct
0.0000 0.0000 0.0000
0.0000 0.0000 0.5000
0.3333 0.6667 0.2500
0.6667 0.3333 0.7500
0.3333 0.6667 0.7500
0.6667 0.3333 0.2500


Entry 2:
Pr2TlIn2 | Alexandria via LeMat-Bulk | PBE | relaxed; space group = No. 127; E_tot = -3.89 eV per atom; DOS at the Fermi energy = 6.29 states/eV per cell; ΔE_f = -406 meV/atom; total magnetization = 0.00 μB/f.u.
1.0
7.8693 0.0000 0.0000
0.0000 7.8693 0.0000
0.0000 0.0000 4.8317
Pr Tl In
4 2 4
Direct
0.1693 0.3307 0.0000
0.3307 0.8307 0.0000
0.6693 0.1693 0.0000
0.8307 0.6693 0.0000
0.0000 0.0000 0.5000
0.5000 0.5000 0.5000
0.1317 0.6317 0.5000
0.3683 0.1317 0.5000
0.6317 0.8683 0.5000
0.8683 0.3683 0.5000


Entry 3:
Pr2Tl3In | Alexandria via LeMat-Bulk | PBE | relaxed; space group = No. 25; E_tot = -3.53 eV per atom; DOS at the Fermi energy = 5.75 states/eV per cell; ΔE_f = -294 meV/atom; total magnetization = 0.00 μB/f.u.
1.0
3.7086 0.0000 0.0000
0.0000 5.0756 0.0000
0.0000 0.0000 9.2363
Pr Tl In
2 3 1
Direct
0.0000 0.0000 0.0000
0.0000 0.5000 0.4941
0.5000 0.0000 0.6578
0.5000 0.5000 0.1657
0.5000 0.5000 0.8329
0.5000 0.0000 0.3307


Entry 4:
Pr8Tl4In3 | Alexandria via LeMat-Bulk | PBE | relaxed; space group = No. 12; E_tot = -3.87 eV per atom; DOS at the Fermi energy = 13.54 states/eV per cell; ΔE_f = -145 meV/atom; total magnetization = 0.00 μB/f.u.
1.0
6.4011 -6.4027 0.0000
6.4011 6.4027 0.0000
-6.3017 0.0000 6.4038
Pr Tl In
8 4 3
Direct
0.2212 0.2212 0.0013
0.2207 0.7793 0.0000
0.2216 0.2216 0.4419
0.2507 0.7493 0.5000
0.7493 0.2507 0.5000
0.7784 0.7784 0.5581
0.7793 0.2207 0.0000
0.7788 0.7788 0.9987
0.0000 0.0000 0.5000
0.0000 0.5000 0.5000
0.5000 0.0000 0.5000
0.5000 0.5000 0.0000
0.0000 0.5000 0.0000
0.5000 0.0000 0.0000
0.5000 0.5000 0.5000


Entry 5:
Pr7TlIn4 | Alexandria via LeMat-Bulk | PBE | relaxed; space group = No. 12; E_tot = -4.14 eV per atom; DOS at the Fermi energy = 14.62 states/eV per cell; ΔE_f = -242 meV/atom; total magnetization = 0.00 μB/f.u.
1.0
7.4398 -3.0325 0.0000
7.4398 3.0325 0.0000
-4.5975 0.0000 8.5157
Pr Tl In
7 1 4
Direct
0.0000 0.0000 0.0000
0.2496 0.2496 0.7159
0.3175 0.3175 0.1276
0.4239 0.4239 0.5925
0.5761 0.5761 0.4075
0.6825 0.6825 0.8724
0.7504 0.7504 0.2841
0.5000 0.5000 0.0000
0.0289 0.0289 0.6773
0.1827 0.1827 0.3400
0.8173 0.8173 0.6600
0.9711 0.9711 0.3227


Entry 6:
Pr6TlIn6 | Alexandria via LeMat-Bulk | PBE | relaxed; space group = No. 191; E_tot = -3.99 eV per atom; DOS at the Fermi energy = 16.40 states/eV per cell; ΔE_f = -337 meV/atom; total magnetization = 0.01 μB/f.u.
1.0
6.5245 0.0000 0.0000
-3.2622 5.6504 0.0000
0.0000 0.0000 11.0045
Pr Tl In
6 1 6
Direct
0.0000 0.0000 0.1951
0.0000 0.0000 0.8049
0.3333 0.6667 0.0000
0.3333 0.6667 0.5000
0.6667 0.3333 0.0000
0.6667 0.3333 0.5000
0.0000 0.0000 0.5000
0.0000 0.5000 0.2490
0.0000 0.5000 0.7510
0.5000 0.0000 0.2490
0.5000 0.0000 0.7510
0.5000 0.5000 0.2490
0.5000 0.5000 0.7510


Entry 7:
Pr2Tl2In | Alexandria via LeMat-Bulk | PBE | relaxed; space group = No. 127; E_tot = -3.77 eV per atom; DOS at the Fermi energy = 5.71 states/eV per cell; ΔE_f = -367 meV/atom; total magnetization = 0.00 μB/f.u.
1.0
7.9103 0.0000 0.0000
0.0000 7.9103 0.0000
0.0000 0.0000 4.8128
Pr Tl In
4 4 2
Direct
0.1696 0.3304 0.0000
0.3304 0.8304 0.0000
0.6696 0.1696 0.0000
0.8304 0.6696 0.0000
0.1348 0.6348 0.5000
0.3652 0.1348 0.5000
0.6348 0.8652 0.5000
0.8652 0.3652 0.5000
0.0000 0.0000 0.5000
0.5000 0.5000 0.5000


Entry 8:
PrTlIn | Alexandria via LeMat-Bulk | PBE | relaxed; space group = No. 63; relative energy among the computed polymorphs = 0.56 kcal/mol of atoms; E_tot = -3.64 eV per atom; DOS at the Fermi energy = 3.88 states/eV per cell; ΔE_f = -350 meV/atom; total magnetization = 0.00 μB/f.u.
1.0
5.6210 0.0000 0.0000
0.0000 9.2036 0.0000
0.0000 0.0000 6.6551
Pr Tl In
4 4 4
Direct
0.0000 0.1636 0.2500
0.0000 0.8364 0.7500
0.5000 0.3364 0.7500
0.5000 0.6636 0.2500
0.0000 0.1773 0.7500
0.0000 0.8227 0.2500
0.5000 0.3227 0.2500
0.5000 0.6773 0.7500
0.0000 0.5000 0.0000
0.0000 0.5000 0.5000
0.5000 0.0000 0.0000
0.5000 0.0000 0.5000